(1)
This record from the Alexandria database describes a relaxed structure of LaY2AuC. The functional is PBE.

abc: 5.7911 4.2199 5.7911
angles: 90.00 90.00 90.00
Closest atoms and distances in Å follow each position.
Atoms (fractional coordinates):
C (0.0000, 0.5000, 0.0000)  2 La 2.11
Y (0.0000, 0.0000, 0.5000)  2 La 2.90
Y (0.5000, 0.0000, 0.0000)  2 La 2.90
La (0.0000, 0.0000, 0.0000)  2 C 2.11
Au (0.5000, 0.5000, 0.5000)  8 Y 3.58

Values from the calculation:
The formation energy is 1.1568 eV/atom. The space group is No. 123. The calculation puts the density at 6.2 Mg/m³. For the uncorrected energy, the calculation gives -24.6 eV/f.u. As for the polymorph energy (0 for the lowest one): 7.60 eV per formula unit.

***

(2)
This record from the Alexandria database describes a relaxed structure of LiAuC2. The functional is PBE.

abc: 3.8765 3.8765 3.8765
angles: 60.00 60.00 60.00
Closest atoms and distances in Å follow each position.
Atoms (fractional coordinates):
C (0.2500, 0.2500, 0.2500)  4 Li 2.37, 4 Au 2.37
C (0.7500, 0.7500, 0.7500)  4 Li 2.37, 4 Au 2.37
Li (0.0000, 0.0000, 0.0000)  8 C 2.37
Au (0.5000, 0.5000, 0.5000)  8 C 2.37

Values from the calculation:
The formation energy is 1.7206 eV/atom. The space group is No. 225. The calculation puts the density at 9.2 Mg/m³. For the uncorrected energy, the calculation gives -16.8 eV/f.u. As for the polymorph energy (0 for the lowest one): 5.95 eV per formula unit.

***

(3)
This record from the Alexandria database describes a relaxed structure of LiAu3C. The functional is PBE.

abc: 4.3581 4.3581 4.3581
angles: 90.00 90.00 90.00
Closest atoms and distances in Å follow each position.
Atoms (fractional coordinates):
Au (0.0000, 0.0000, 0.5000)  2 C 2.18
Au (0.0000, 0.5000, 0.0000)  2 C 2.18
Au (0.5000, 0.0000, 0.0000)  2 C 2.18
Li (0.5000, 0.5000, 0.5000)  12 Au 3.08
C (0.0000, 0.0000, 0.0000)  6 Au 2.18

Values from the calculation:
The formation energy is 0.3389 eV/atom. The space group is No. 221. The calculation puts the density at 12.2 Mg/m³. For the uncorrected energy, the calculation gives -19.3 eV/f.u. As for the polymorph energy (0 for the lowest one): 0.00 eV per formula unit.

***

(4)
This record from the Alexandria database describes a relaxed structure of LiAuC3. The functional is PBE.

abc: 4.1686 4.1686 4.1686
angles: 90.00 90.00 90.00
Closest atoms and distances in Å follow each position.
Atoms (fractional coordinates):
Li (0.5000, 0.5000, 0.5000)  12 C 2.95
C (0.5000, 0.0000, 0.0000)  2 Au 2.08
C (0.0000, 0.0000, 0.5000)  2 Au 2.08
C (0.0000, 0.5000, 0.0000)  2 Au 2.08
Au (0.0000, 0.0000, 0.0000)  6 C 2.08

Values from the calculation:
The formation energy is 2.8574 eV/atom. The space group is No. 221. The calculation puts the density at 5.5 Mg/m³. For the uncorrected energy, the calculation gives -18.6 eV/f.u. As for the polymorph energy (0 for the lowest one): 0.00 eV per formula unit.

***

(5)
This record from the Alexandria database describes a relaxed structure of LiAuC2. The functional is PBE.

abc: 5.1525 5.1525 5.7368
angles: 63.32 63.32 90.00
Closest atoms and distances in Å follow each position.
Atoms (fractional coordinates):
Li (0.2500, 0.7500, 0.5000)  4 C 2.25
Li (0.5000, 0.5000, 0.0000)  4 C 2.25
Au (0.0000, 0.0000, 0.0000)  4 C 2.02
Au (0.7500, 0.2500, 0.5000)  4 C 2.02
C (0.3750, 0.3376, 0.7500)  2 Au 2.02, 2 Li 2.25
C (0.6624, 0.1250, 0.2500)  2 Au 2.02, 2 Li 2.25
C (0.8750, 0.9124, 0.7500)  2 Au 2.02, 2 Li 2.25
C (0.0876, 0.6250, 0.2500)  2 Au 2.02, 2 Li 2.25

Values from the calculation:
The formation energy is 1.8164 eV/atom. The space group is No. 122. The calculation puts the density at 6.4 Mg/m³. For the uncorrected energy, the calculation gives -16.4 eV/f.u. As for the polymorph energy (0 for the lowest one): 6.34 eV per formula unit.

***

(6)
This record from the Alexandria database describes a relaxed structure of Li2AuC. The functional is PBE.

abc: 8.7439 8.7439 6.4883
angles: 47.64 47.64 90.00
Closest atoms and distances in Å follow each position.
Atoms (fractional coordinates):
Li (0.3700, 0.6250, 0.2500)  2 C 2.24
Li (0.8750, 0.6300, 0.7500)  2 C 2.24
Li (0.3800, 0.1250, 0.2500)  2 C 2.24
Li (0.3750, 0.6200, 0.7500)  2 C 2.24
C (0.5000, 0.5000, 0.0000)  2 Au 1.97
C (0.2500, 0.7500, 0.5000)  2 Au 1.97
Au (0.7500, 0.2500, 0.5000)  2 C 1.97
Au (0.0000, 0.0000, 0.0000)  2 C 1.97

Values from the calculation:
The formation energy is 0.2360 eV/atom. The space group is No. 122. The calculation puts the density at 4.9 Mg/m³. For the uncorrected energy, the calculation gives -15.4 eV/f.u.

***

(7)
This record from the Alexandria database describes a relaxed structure of LiAu3C. The functional is PBE.

abc: 4.4220 4.4220 4.4220
angles: 90.00 90.00 90.00
Closest atoms and distances in Å follow each position.
Atoms (fractional coordinates):
Li (0.0000, 0.0000, 0.0000)  6 Au 2.21
Au (0.0000, 0.5000, 0.0000)  2 Li 2.21
Au (0.0000, 0.0000, 0.5000)  2 Li 2.21
Au (0.5000, 0.0000, 0.0000)  2 Li 2.21
C (0.5000, 0.5000, 0.5000)  12 Au 3.13

Values from the calculation:
The formation energy is 1.5898 eV/atom. The space group is No. 221. The calculation puts the density at 11.7 Mg/m³. For the uncorrected energy, the calculation gives -13.0 eV/f.u. As for the polymorph energy (0 for the lowest one): 6.25 eV per formula unit.

***

(8)
This record from the Alexandria database describes a relaxed structure of LiAuC3. The functional is PBE.

abc: 3.7672 3.7672 3.7672
angles: 90.00 90.00 90.00
Closest atoms and distances in Å follow each position.
Atoms (fractional coordinates):
Li (0.0000, 0.0000, 0.0000)  6 C 1.88
C (0.0000, 0.0000, 0.5000)  2 Li 1.88
C (0.0000, 0.5000, 0.0000)  2 Li 1.88
C (0.5000, 0.0000, 0.0000)  2 Li 1.88
Au (0.5000, 0.5000, 0.5000)  12 C 2.66

Values from the calculation:
The formation energy is 2.9408 eV/atom. The space group is No. 221. The calculation puts the density at 7.5 Mg/m³. For the uncorrected energy, the calculation gives -18.2 eV/f.u. As for the polymorph energy (0 for the lowest one): 0.42 eV per formula unit.